Here is an optimized crystal structure of LiScRe3 from Alexandria. Energies are from PBE.

CIF file:
```
data_LiScRe3
_cell_length_a 4.6422
_cell_length_b 4.6422
_cell_length_c 4.6422
_cell_angle_alpha 90.00
_cell_angle_beta 90.00
_cell_angle_gamma 90.00
_symmetry_space_group_name_H-M 'P m -3 m'
_symmetry_Int_Tables_number 221
_symmetry_space_group_name_Hall '-P 4 2 3'
loop_
_atom_site_label
_atom_site_fract_x
_atom_site_fract_y
_atom_site_fract_z
Li1 0.0000 0.0000 0.0000
Sc1 0.5000 0.5000 0.5000
Re1 0.0000 0.5000 0.5000
```

DFT formation energy, eV/atom: 2.383
Polymorph energy (0 for the lowest one), meV per atom: 1273
Total DFT energy (no corrections), eV/atom: -6.735